[1]
The following is a PBE calculation of crystalline Tb3Y5Se8 at its relaxed geometry, from the Alexandria database.

Cell lengths 8.1829, 8.1829, 20.0388 Å; angles 90.00, 90.00, 120.00 degrees
Last column: nearest neighbours and their distance in Å.
Space group R-3m (No. 166, hexagonal axes)
Asymmetric unit:
Tb (0.0000, 0.5000, 0.0000)  6 Se 2.90
Y (0.0000, 0.0000, 0.0000)  6 Se 2.89
Y (0.0000, 0.0000, 0.5000)  6 Se 2.89
Y (0.0000, 0.5000, 0.5000)  6 Se 2.89
Se (0.0000, 0.0000, 0.2497)  3 Y 2.89, 3 Tb 2.90
Se (0.9997, 0.4998, 0.2498)  4 Y 2.89, 2 Tb 2.90

Results
Magnetization   0.0 μB per cell
D(E_F)   32.754 states/eV per cell
E_form (uncorrected)   -1.763 eV per atom

=====

[2]
The following is a PBE calculation of crystalline Tb3Y2Se6 at its relaxed geometry, from the Alexandria database.

Cell lengths 4.1229, 4.1229, 60.5008 Å; angles 90.00, 90.00, 120.00 degrees
Last column: nearest neighbours and their distance in Å.
Space group R-3m (No. 166, hexagonal axes)
Asymmetric unit:
Tb (0.0000, 0.0000, 0.0000)  6 Se 2.90
Tb (0.0000, 0.0000, 0.2795)  6 Se 2.87-2.95
Y (0.0000, 0.0000, 0.4467)  6 Se 2.76-3.03
Se (0.0000, 0.0000, 0.0825)  3 Tb 2.95, 3 Y 3.03
Se (0.0000, 0.0000, 0.1968)  3 Y 2.76
Se (0.0000, 0.0000, 0.3606)  6 Tb 2.87-2.90

Results
Magnetization   0.0 μB per cell
Relative energy among the computed polymorphs   83.7 meV per atom
D(E_F)   13.247 states/eV per cell
E_form (uncorrected)   -1.791 eV per atom

=====

[3]
The following is a PBE calculation of crystalline Tb4YSe5 at its relaxed geometry, from the Alexandria database.

Cell lengths 4.0896, 4.0896, 29.0104 Å; angles 90.00, 90.00, 90.00 degrees
Last column: nearest neighbours and their distance in Å.
Space group I4/mmm (No. 139)
Asymmetric unit:
Tb (0.0000, 0.0000, 0.0986)  6 Se 2.86-2.90
Tb (0.0000, 0.0000, 0.2978)  6 Se 2.88-2.94
Y (0.0000, 0.0000, 0.5000)  6 Se 2.89-2.92
Se (0.0000, 0.0000, 0.0000)  2 Tb 2.86, 4 Y 2.89
Se (0.0000, 0.0000, 0.1985)  6 Tb 2.88-2.90
Se (0.0000, 0.0000, 0.3993)  5 Tb 2.89-2.94, 1 Y 2.92

Results
Magnetization   0.0 μB per cell
D(E_F)   8.427 states/eV per cell
E_form (uncorrected)   -1.769 eV per atom

=====

[4]
The following is a PBE calculation of crystalline Tb2YSe4 at its relaxed geometry, from the Alexandria database.

Cell lengths 8.1933, 8.2150, 11.3953 Å; angles 90.00, 90.00, 90.00 degrees
Last column: nearest neighbours and their distance in Å.
Space group Imma (No. 74)
Asymmetric unit:
Tb (0.0000, 0.0000, 0.0000)  6 Se 2.85-2.90
Tb (0.2500, 0.2500, 0.2500)  6 Se 2.88-2.91
Y (0.0000, 0.0000, 0.5000)  6 Se 2.85-2.90
Se (0.0000, 0.0031, 0.2502)  1 Y 2.85, 3 Tb 2.85-2.88
Se (0.2496, 0.2500, 0.5056)  2 Y 2.90, 3 Tb 2.90-2.91

Results
Magnetization   0.0 μB per cell
Relative energy among the computed polymorphs   0.0 meV per atom
D(E_F)   8.025 states/eV per cell
E_form (uncorrected)   -1.887 eV per atom